Entry 1:
A relaxed structure of Ba2MgBi, computed with PBE-GGA.

**Size of the total moment**: 0.0 μB/cell
**Polymorph energy (0 for the lowest one)**: 0.035 eV/atom
**E_tot**: -2.80 eV per atom
**V**: 40.5 Å³ per atom
**Energy relative to the elements**: -468 meV/atom

```
4
Lattice="0.000 4.328 4.328 4.328 0.000 4.328 4.328 4.328 0.000" Properties=species:S:1:pos:R:3 pbc="T T T"
Ba 2.164 2.164 2.164
Ba 6.492 6.492 6.492
Mg 0.000 0.000 0.000
Bi 4.328 4.328 4.328
```

=====

Entry 2:
A relaxed structure of BaMg2Bi2, computed with PBE-GGA.

**Size of the total moment**: 0.0 μB/cell
**Polymorph energy (0 for the lowest one)**: 0.015 eV/atom
**E_tot**: -3.17 eV per atom
**V**: 33.3 Å³ per atom
**Energy relative to the elements**: -596 meV/atom

```
5
Lattice="-2.346 2.346 7.558 2.346 -2.346 7.558 2.346 2.346 -7.558" Properties=species:S:1:pos:R:3 pbc="T T T"
Ba 0.000 0.000 0.000
Mg 2.346 0.000 3.779
Mg 0.000 2.346 3.779
Bi 0.000 0.000 5.648
Bi 0.000 0.000 9.467
```

=====

Entry 3:
A relaxed structure of BaMg6Bi, computed with PBE-GGA.

**Size of the total moment**: 0.0 μB/cell
**Polymorph energy (0 for the lowest one)**: 0.000 eV/atom
**E_tot**: -1.98 eV per atom
**V**: 29.3 Å³ per atom
**Energy relative to the elements**: -54 meV/atom

```
8
Lattice="5.003 0.000 0.000 0.000 3.323 7.043 0.000 -3.323 7.043" Properties=species:S:1:pos:R:3 pbc="T T T"
Ba 0.000 0.000 0.000
Mg 0.000 -1.481 3.768
Mg 0.000 1.481 3.768
Mg 0.000 0.000 8.151
Mg 2.501 -1.724 9.009
Mg 2.501 0.000 5.944
Mg 2.501 1.724 9.009
Bi 2.501 0.000 11.584
```

=====

Entry 4:
A relaxed structure of Ba2MgMnBi, computed with PBE-GGA.

**Size of the total moment**: 0.0 μB/cell
**E_tot**: -3.44 eV per atom
**V**: 36.3 Å³ per atom
**Energy relative to the elements**: 259 meV/atom

```
5
Lattice="5.965 0.000 0.000 0.000 5.965 0.000 0.000 0.000 5.095" Properties=species:S:1:pos:R:3 pbc="T T T"
Ba 0.000 2.982 0.000
Ba 2.982 0.000 0.000
Mg 0.000 0.000 2.548
Mn 2.982 2.982 0.000
Bi 2.982 2.982 2.548
```

=====

Entry 5:
A relaxed structure of Ba2NaMg3Bi4, computed with PBE-GGA.

**Size of the total moment**: 0.0 μB/cell
**E_tot**: -3.08 eV per atom
**V**: 33.7 Å³ per atom
**Energy relative to the elements**: -534 meV/atom

```
10
Lattice="5.399 0.000 0.000 0.000 5.399 0.000 0.000 0.000 11.560" Properties=species:S:1:pos:R:3 pbc="T T T"
Ba 0.000 2.700 2.696
Ba 2.700 0.000 8.864
Na 0.000 0.000 5.780
Mg 0.000 2.700 10.243
Mg 2.700 0.000 1.317
Mg 2.700 2.700 5.780
Bi 0.000 0.000 0.000
Bi 0.000 2.700 7.354
Bi 2.700 0.000 4.206
Bi 2.700 2.700 0.000
```

=====

Entry 6:
A relaxed structure of Ba3MgBi2O9, computed with PBE-GGA.

**Size of the total moment**: 0.0 μB/cell
**ΔE_f (raw)**: -1.939 eV/atom
**E_tot**: -5.92 eV per atom
**V**: 15.5 Å³ per atom

```
15
Lattice="6.028 0.000 0.000 -3.014 5.220 0.000 0.000 0.000 7.394" Properties=species:S:1:pos:R:3 pbc="T T T"
Ba 0.000 0.000 0.000
Ba 0.000 3.480 4.877
Ba 3.014 1.740 2.517
Mg 0.000 0.000 3.697
Bi 0.000 3.480 1.328
Bi 3.014 1.740 6.065
O -1.507 2.610 0.000
O 0.000 1.725 2.466
O -1.520 4.358 2.466
O 1.494 0.862 4.928
O 3.014 0.000 0.000
O 1.507 2.610 0.000
O 1.520 4.358 2.466
O 4.534 0.862 4.928
O 3.014 3.496 4.928
```

=====

Entry 7:
A relaxed structure of BaMg6BiO8, computed with PBE-GGA.

**Size of the total moment**: 0.0 μB/cell
**ΔE_f (raw)**: -1.882 eV/atom
**Polymorph energy (0 for the lowest one)**: 0.113 eV/atom
**E_tot**: -5.32 eV per atom
**V**: 13.6 Å³ per atom

```
16
Lattice="4.791 0.000 0.000 0.000 4.791 0.000 0.000 0.000 9.450" Properties=species:S:1:pos:R:3 pbc="T T T"
Ba 0.000 0.000 0.000
Mg 0.000 2.395 2.379
Mg 0.000 2.395 7.071
Mg 2.395 0.000 2.379
Mg 2.395 0.000 7.071
Mg 2.395 2.395 0.000
Mg 2.395 2.395 4.725
Bi 0.000 0.000 4.725
O 0.000 0.000 2.469
O 0.000 0.000 6.981
O 0.000 2.395 0.000
O 0.000 2.395 4.725
O 2.395 0.000 0.000
O 2.395 0.000 4.725
O 2.395 2.395 2.462
O 2.395 2.395 6.988
```

=====

Entry 8:
A relaxed structure of Ba2MgBiO5, computed with PBE-GGA.

**Size of the total moment**: 0.0 μB/cell
**ΔE_f (raw)**: -2.068 eV/atom
**E_tot**: -5.86 eV per atom
**V**: 17.7 Å³ per atom

```
18
Lattice="1.822 -7.354 0.000 1.822 7.354 0.000 0.000 0.000 11.901" Properties=species:S:1:pos:R:3 pbc="T T T"
Ba 1.822 6.062 5.950
Ba 1.822 5.359 1.824
Ba 1.822 -5.359 7.774
Ba 1.822 -6.062 0.000
Mg 1.822 0.744 3.203
Mg 1.822 -0.744 9.153
Bi 1.822 4.259 10.285
Bi 1.822 -4.259 4.335
O 1.822 6.585 10.063
O 1.822 3.228 5.803
O 1.822 2.798 2.935
O 1.822 2.097 9.890
O 1.822 0.043 7.367
O 1.822 -0.043 1.416
O 1.822 -2.097 3.940
O 1.822 -2.798 8.886
O 1.822 -3.228 11.753
O 1.822 -6.585 4.113
```

=====

Entry 9:
A relaxed structure of BaMgBiO4, computed with PBE-GGA.

**Size of the total moment**: 1.2 μB/cell
**ΔE_f (raw)**: -1.818 eV/atom
**E_tot**: -5.71 eV per atom
**V**: 17.7 Å³ per atom

```
14
Lattice="6.081 0.000 0.000 0.000 5.974 0.000 -2.738 0.000 6.827" Properties=species:S:1:pos:R:3 pbc="T T T"
Ba 0.029 1.493 3.111
Ba 3.314 4.480 3.716
Mg 0.940 4.480 1.080
Mg 2.403 1.493 5.747
Bi -0.771 1.493 6.652
Bi 4.114 4.480 0.176
O -0.688 4.480 2.206
O -0.050 1.493 0.626
O 2.377 3.093 1.321
O 2.377 5.867 1.321
O 0.966 0.106 5.507
O 0.966 2.881 5.507
O 3.393 4.480 6.201
O 4.031 1.493 4.621
```

=====

Entry 10:
A relaxed structure of Ba3Mg2BiO8, computed with PBE-GGA.

**Size of the total moment**: 1.1 μB/cell
**ΔE_f (raw)**: -2.042 eV/atom
**E_tot**: -5.79 eV per atom
**V**: 17.1 Å³ per atom

```
14
Lattice="6.005 0.000 0.000 -3.003 5.201 0.000 0.000 0.000 7.687" Properties=species:S:1:pos:R:3 pbc="T T T"
Ba 0.000 0.000 0.000
Ba 0.000 3.467 4.997
Ba 3.003 1.734 2.690
Mg 0.000 3.467 1.732
Mg 3.003 1.734 5.955
Bi 0.000 0.000 3.844
O 0.000 1.691 2.548
O -1.539 4.355 2.548
O 1.464 0.845 5.140
O 0.000 3.467 7.509
O 3.003 1.734 0.178
O 1.539 4.355 2.548
O 4.541 0.845 5.140
O 3.003 3.510 5.140
```

=====

Entry 11:
A relaxed structure of BaMg6BiO8, computed with PBE-GGA.

**Size of the total moment**: 0.3 μB/cell
**ΔE_f (raw)**: -1.995 eV/atom
**Polymorph energy (0 for the lowest one)**: 0.000 eV/atom
**E_tot**: -5.43 eV per atom
**V**: 13.6 Å³ per atom

```
16
Lattice="4.723 0.000 0.000 0.000 4.723 0.000 0.000 0.000 9.764" Properties=species:S:1:pos:R:3 pbc="T T T"
Ba 0.000 0.000 0.000
Mg 0.000 0.000 4.882
Mg 0.000 2.361 2.873
Mg 0.000 2.361 6.891
Mg 2.361 0.000 2.873
Mg 2.361 0.000 6.891
Mg 2.361 2.361 4.882
Bi 2.361 2.361 0.000
O 0.000 0.000 2.825
O 0.000 0.000 6.939
O 0.000 2.361 0.000
O 0.000 2.361 4.882
O 2.361 0.000 0.000
O 2.361 0.000 4.882
O 2.361 2.361 2.868
O 2.361 2.361 6.897
```

=====

Entry 12:
A relaxed structure of BaMgBi4O8, computed with PBE-GGA.

**Size of the total moment**: 0.0 μB/cell
**ΔE_f (raw)**: -1.450 eV/atom
**E_tot**: -5.64 eV per atom
**V**: 18.1 Å³ per atom

```
14
Lattice="6.260 0.000 0.000 -3.130 5.421 0.000 0.000 0.000 7.462" Properties=species:S:1:pos:R:3 pbc="T T T"
Ba 0.000 0.000 0.000
Mg 0.000 0.000 3.731
Bi 0.000 3.614 2.108
Bi 0.000 3.614 5.355
Bi 3.130 1.807 2.108
Bi 3.130 1.807 5.355
O -0.866 1.500 2.295
O -2.264 3.921 5.167
O 1.732 0.000 2.295
O 0.866 1.500 5.167
O 0.000 3.614 0.000
O 3.130 1.807 0.000
O 4.528 0.000 5.167
O 2.264 3.921 2.295
```

=====

> Which of these has the highest size of the total moment?

BaMgBiO4

=====

> Which value of size of the total moment does entry 3 give?

0.0 μB/cell